Ce3Cd11: relaxed, PBE.

Unit cell a=4.9619 b=9.7880 c=14.2738 alpha=90.00 beta=90.00 gamma=90.00
Space group Immm (No. 71)
Inequivalent atoms, fractional coordinates:
1 Ce 0.0000 0.0000 0.0000 x2
2 Ce 0.0000 0.0000 0.2897 x4
3 Cd 0.0000 0.1691 0.5000 x4
4 Cd 0.0000 0.2860 0.1441 x8
5 Cd 0.0000 0.3596 0.3461 x8
6 Cd 0.0000 0.5000 0.0000 x2

## Properties
- spin magnetization (μB/atom) = 0.23
- formation energy (eV/atom) = -0.184
- calculated volume (A^3/atom) = 24.759
- Fermi-level density of states (states/eV per atom) = 1.845